# 1
# Sm4Ga2Au | Alexandria | PBE | optimized geometry
# **Formation enthalpy at 0 K**: -0.476 eV/atom
data_Sm4Ga2Au
_cell_length_a 5.1559
_cell_length_b 5.1559
_cell_length_c 24.9322
_cell_angle_alpha 90.00
_cell_angle_beta 90.00
_cell_angle_gamma 120.00
_symmetry_space_group_name_H-M 'R -3 m'
_symmetry_Int_Tables_number 166
_symmetry_space_group_name_Hall '-R 3 2"'
loop_
_atom_site_label
_atom_site_type_symbol
_atom_site_fract_x
_atom_site_fract_y
_atom_site_fract_z
Sm1 Sm 0.0000 0.0000 0.1218
Sm2 Sm 0.0000 0.0000 0.3733
Ga1 Ga 0.0000 0.0000 0.2522
Au1 Au 0.0000 0.0000 0.5000

***

# 2
# TbErCo | Alexandria | PBE | optimized geometry
# **Formation enthalpy at 0 K**: -0.096 eV/atom
data_TbErCo
_cell_length_a 6.0538
_cell_length_b 3.9629
_cell_length_c 6.8504
_cell_angle_alpha 90.00
_cell_angle_beta 112.35
_cell_angle_gamma 90.00
_symmetry_space_group_name_H-M 'P 1 2/m 1'
_symmetry_Int_Tables_number 10
_symmetry_space_group_name_Hall '-P 2y'
loop_
_atom_site_label
_atom_site_type_symbol
_atom_site_fract_x
_atom_site_fract_y
_atom_site_fract_z
Tb1 Tb 0.2463 0.0000 0.2490
Er1 Er 0.2411 0.5000 0.7475
Co1 Co 0.0000 0.0000 0.5000
Co2 Co 0.0000 0.5000 0.0000

***

# 3
# LaTbNiRh | Alexandria | PBE | optimized geometry
# **Formation enthalpy at 0 K**: -0.585 eV/atom
data_LaTbNiRh
_cell_length_a 4.1732
_cell_length_b 3.9193
_cell_length_c 10.8522
_cell_angle_alpha 90.00
_cell_angle_beta 90.00
_cell_angle_gamma 90.00
_symmetry_space_group_name_H-M 'A m m 2'
_symmetry_Int_Tables_number 38
_symmetry_space_group_name_Hall 'A 2 -2'
loop_
_atom_site_label
_atom_site_type_symbol
_atom_site_fract_x
_atom_site_fract_y
_atom_site_fract_z
La1 La 0.0000 0.0000 0.0000
Tb1 Tb 0.5000 0.0000 0.7219
Ni1 Ni 0.5000 0.0000 0.4357
Rh1 Rh 0.0000 0.0000 0.2725

***

# 4
# MgSc2Ni | Alexandria | PBE | optimized geometry
# **Formation enthalpy at 0 K**: -0.040 eV/atom
data_MgSc2Ni
_cell_length_a 6.6450
_cell_length_b 6.6450
_cell_length_c 6.6450
_cell_angle_alpha 90.00
_cell_angle_beta 90.00
_cell_angle_gamma 90.00
_symmetry_space_group_name_H-M 'F -4 3 m'
_symmetry_Int_Tables_number 216
_symmetry_space_group_name_Hall 'F -4 2 3'
loop_
_atom_site_label
_atom_site_type_symbol
_atom_site_fract_x
_atom_site_fract_y
_atom_site_fract_z
Mg1 Mg 0.0000 0.0000 0.0000
Sc1 Sc 0.0000 0.0000 0.5000
Sc2 Sc 0.2500 0.2500 0.2500
Ni1 Ni 0.2500 0.2500 0.7500

***

# 5
# InFeP2 | Alexandria | PBE | optimized geometry
# **Formation enthalpy at 0 K**: 0.007 eV/atom
data_InFeP2
_cell_length_a 9.5427
_cell_length_b 3.5706
_cell_length_c 4.7988
_cell_angle_alpha 90.00
_cell_angle_beta 90.49
_cell_angle_gamma 90.00
_symmetry_space_group_name_H-M 'C 1 m 1'
_symmetry_Int_Tables_number 8
_symmetry_space_group_name_Hall 'C -2y'
loop_
_atom_site_label
_atom_site_type_symbol
_atom_site_fract_x
_atom_site_fract_y
_atom_site_fract_z
In1 In 0.0000 0.0000 0.0000
Fe1 Fe 0.2352 0.5000 0.0005
P1 P 0.2441 0.0000 0.7233
P2 P 0.2457 0.0000 0.2779

***

# 6
# Na14Pb2Se9 | Alexandria | PBE | optimized geometry
# **Formation energy from raw total energies**: -0.9518 eV/atom
data_Na14Pb2Se9
_cell_length_a 8.5456
_cell_length_b 8.5456
_cell_length_c 11.8635
_cell_angle_alpha 90.00
_cell_angle_beta 90.00
_cell_angle_gamma 120.00
_symmetry_space_group_name_H-M 'P -3'
_symmetry_Int_Tables_number 147
_symmetry_space_group_name_Hall '-P 3'
loop_
_atom_site_label
_atom_site_type_symbol
_atom_site_fract_x
_atom_site_fract_y
_atom_site_fract_z
Na1 Na 0.0000 0.0000 0.2468
Na2 Na 0.0264 0.6791 0.4088
Na3 Na 0.0377 0.3636 0.0902
Pb1 Pb 0.3333 0.6667 0.7562
Se1 Se 0.0000 0.0000 0.5000
Se2 Se 0.0210 0.3309 0.8407
Se3 Se 0.3333 0.6667 0.5085

***

# 7
# ZrBiAu | Alexandria | PBE | optimized geometry
# **Formation enthalpy at 0 K**: -0.125 eV/atom
data_ZrBiAu
_cell_length_a 4.6897
_cell_length_b 4.6897
_cell_length_c 8.4021
_cell_angle_alpha 90.00
_cell_angle_beta 90.00
_cell_angle_gamma 120.00
_symmetry_space_group_name_H-M 'P -3 m 1'
_symmetry_Int_Tables_number 164
_symmetry_space_group_name_Hall '-P 3 2"'
loop_
_atom_site_label
_atom_site_type_symbol
_atom_site_fract_x
_atom_site_fract_y
_atom_site_fract_z
Zr1 Zr 0.0000 0.0000 0.1737
Bi1 Bi 0.3333 0.6667 0.3504
Au1 Au 0.3333 0.6667 0.9903

***

# 8
# Pr5Nd2Sm4 | Alexandria | PBE | optimized geometry
# **Formation enthalpy at 0 K**: 0.188 eV/atom
data_Pr5Nd2Sm4
_cell_length_a 3.5840
_cell_length_b 9.4186
_cell_length_c 23.7861
_cell_angle_alpha 90.00
_cell_angle_beta 90.00
_cell_angle_gamma 90.00
_symmetry_space_group_name_H-M 'I m m m'
_symmetry_Int_Tables_number 71
_symmetry_space_group_name_Hall '-I 2 2'
loop_
_atom_site_label
_atom_site_type_symbol
_atom_site_fract_x
_atom_site_fract_y
_atom_site_fract_z
Pr1 Pr 0.0000 0.0000 0.0000
Pr2 Pr 0.0000 0.3010 0.3539
Nd1 Nd 0.0000 0.5000 0.2308
Sm1 Sm 0.0000 0.1941 0.5000
Sm2 Sm 0.0000 0.5000 0.0962

***

# 9
# KTlCu2Br5 | Alexandria | PBE | optimized geometry
# **Formation energy from raw total energies**: -0.7134 eV/atom
data_KTlCu2Br5
_cell_length_a 5.0079
_cell_length_b 5.0079
_cell_length_c 10.7871
_cell_angle_alpha 90.00
_cell_angle_beta 90.00
_cell_angle_gamma 90.00
_symmetry_space_group_name_H-M 'P 4/m m m'
_symmetry_Int_Tables_number 123
_symmetry_space_group_name_Hall '-P 4 2'
loop_
_atom_site_label
_atom_site_type_symbol
_atom_site_fract_x
_atom_site_fract_y
_atom_site_fract_z
K1 K 0.0000 0.0000 0.0000
Tl1 Tl 0.0000 0.0000 0.5000
Cu1 Cu 0.5000 0.5000 0.2411
Br1 Br 0.0000 0.5000 0.2823
Br2 Br 0.5000 0.5000 0.0000

***

# 10
# Sc5Cd2RuRh2 | Alexandria | PBE | optimized geometry
# **Formation enthalpy at 0 K**: -0.528 eV/atom
data_Sc5Cd2RuRh2
_cell_length_a 11.0588
_cell_length_b 11.0588
_cell_length_c 3.2784
_cell_angle_alpha 90.00
_cell_angle_beta 90.00
_cell_angle_gamma 90.00
_symmetry_space_group_name_H-M 'P 4/m b m'
_symmetry_Int_Tables_number 127
_symmetry_space_group_name_Hall '-P 4 2ab'
loop_
_atom_site_label
_atom_site_type_symbol
_atom_site_fract_x
_atom_site_fract_y
_atom_site_fract_z
Sc1 Sc 0.0000 0.5000 0.0000
Sc2 Sc 0.0652 0.1921 0.0000
Cd1 Cd 0.1756 0.6756 0.5000
Ru1 Ru 0.0000 0.0000 0.5000
Rh1 Rh 0.1315 0.3685 0.5000

***

So what do the calculations give for total magnetic moment? Going down the list: 0.0 0.0 0.0 0.0 0.4 0.0 0.6 0.0 0.0 0.0 μB per formula unit.